{
  "formula": "HfCrTeI2",
  "functional": "PBE",
  "state": "optimized geometry",
  "cell": [[5.304, 0.000, 0.000], [0.000, 5.304, 0.000], [0.000, 0.000, 5.458]],
  "species": ["Hf", "Cr", "Te", "I", "I"],
  "frac_coords": [[0.000, 0.000, 0.000], [0.500, 0.500, 0.500], [0.500, 0.500, 0.000], [0.000, 0.500, 0.500], [0.500, 0.000, 0.500]]
}



{
  "formula": "HfCrTeI2",
  "functional": "PBE",
  "state": "optimized geometry",
  "cell": [[5.687, 0.000, 0.000], [0.000, 5.687, 0.000], [0.000, 0.000, 5.585]],
  "species": ["Hf", "Cr", "Te", "I", "I"],
  "frac_coords": [[0.000, 0.000, 0.000], [0.500, 0.500, 0.500], [0.000, 0.000, 0.500], [0.000, 0.500, 0.000], [0.500, 0.000, 0.000]]
}



{
  "formula": "Hf2CrIn",
  "functional": "PBE",
  "state": "optimized geometry",
  "formation_enthalpy_0k_ev_per_atom": 0.65,
  "cell": [[-2.068, 2.068, 10.226], [2.068, -2.068, 10.226], [2.068, 2.068, -10.226]],
  "species": ["Hf", "Hf", "Hf", "Hf", "Cr", "Cr", "In", "In"],
  "frac_coords": [[0.121, 0.625, 0.996], [0.375, 0.371, 0.496], [0.629, 0.125, 0.004], [0.875, 0.879, 0.504], [0.000, 0.000, 0.000], [0.750, 0.250, 0.500], [0.250, 0.750, 0.500], [0.500, 0.500, 0.000]]
}



{
  "formula": "HfCrIn3",
  "functional": "PBE",
  "state": "optimized geometry",
  "formation_enthalpy_0k_ev_per_atom": 0.79,
  "cell": [[4.995, 0.000, 0.000], [0.000, 4.995, 0.000], [0.000, 0.000, 4.995]],
  "species": ["Hf", "Cr", "In", "In", "In"],
  "frac_coords": [[0.000, 0.000, 0.000], [0.500, 0.500, 0.500], [0.000, 0.500, 0.500], [0.500, 0.000, 0.500], [0.500, 0.500, 0.000]]
}



{
  "formula": "Hf2CrIn2",
  "functional": "PBE",
  "state": "optimized geometry",
  "formation_enthalpy_0k_ev_per_atom": 0.31,
  "cell": [[7.139, 0.000, 0.000], [0.000, 7.139, 0.000], [0.000, 0.000, 4.029]],
  "species": ["Hf", "Hf", "Hf", "Hf", "Cr", "Cr", "In", "In", "In", "In"],
  "frac_coords": [[0.171, 0.329, 0.000], [0.329, 0.829, 0.000], [0.671, 0.171, 0.000], [0.829, 0.671, 0.000], [0.000, 0.000, 0.500], [0.500, 0.500, 0.500], [0.138, 0.638, 0.500], [0.362, 0.138, 0.500], [0.638, 0.862, 0.500], [0.862, 0.362, 0.500]]
}



{
  "formula": "Hf2Cr2In",
  "functional": "PBE",
  "state": "optimized geometry",
  "formation_enthalpy_0k_ev_per_atom": 0.07,
  "cell": [[7.123, 0.000, 0.000], [0.000, 7.123, 0.000], [0.000, 0.000, 3.553]],
  "species": ["Hf", "Hf", "Hf", "Hf", "Cr", "Cr", "Cr", "Cr", "In", "In"],
  "frac_coords": [[0.185, 0.315, 0.000], [0.315, 0.815, 0.000], [0.685, 0.185, 0.000], [0.815, 0.685, 0.000], [0.100, 0.600, 0.500], [0.400, 0.100, 0.500], [0.600, 0.900, 0.500], [0.900, 0.400, 0.500], [0.000, 0.000, 0.500], [0.500, 0.500, 0.500]]
}



{
  "formula": "HfCrIn3",
  "functional": "PBE",
  "state": "optimized geometry",
  "formation_enthalpy_0k_ev_per_atom": 1.51,
  "cell": [[5.477, 0.000, 0.000], [0.000, 5.477, 0.000], [0.000, 0.000, 5.477]],
  "species": ["Hf", "Cr", "In", "In", "In"],
  "frac_coords": [[0.000, 0.000, 0.000], [0.500, 0.500, 0.500], [0.000, 0.000, 0.500], [0.000, 0.500, 0.000], [0.500, 0.000, 0.000]]
}



{
  "formula": "Hf2CrIn",
  "functional": "PBE",
  "state": "optimized geometry",
  "formation_enthalpy_0k_ev_per_atom": -0.07,
  "cell": [[3.292, 0.000, 0.000], [0.000, 3.292, 0.000], [0.000, 0.000, 7.107]],
  "species": ["Hf", "Hf", "Cr", "In"],
  "frac_coords": [[0.000, 0.000, 0.212], [0.000, 0.000, 0.788], [0.500, 0.500, 0.000], [0.500, 0.500, 0.500]]
}



{
  "formula": "Hf2CrIn",
  "functional": "PBE",
  "state": "optimized geometry",
  "formation_enthalpy_0k_ev_per_atom": 0.15,
  "cell": [[1.603, 0.926, 9.019], [-1.603, 0.926, 9.019], [0.000, -1.851, 9.019]],
  "species": ["Hf", "Hf", "Cr", "In"],
  "frac_coords": [[0.237, 0.237, 0.237], [0.763, 0.763, 0.763], [0.500, 0.500, 0.500], [0.000, 0.000, 0.000]]
}



{
  "formula": "HfCr2In",
  "functional": "PBE",
  "state": "optimized geometry",
  "formation_enthalpy_0k_ev_per_atom": 1.01,
  "cell": [[-3.587, 3.587, 2.787], [3.587, -3.587, 2.787], [3.587, 3.587, -2.787]],
  "species": ["Hf", "Hf", "Cr", "Cr", "Cr", "Cr", "In", "In"],
  "frac_coords": [[0.000, 0.000, 0.000], [0.750, 0.250, 0.500], [0.123, 0.625, 0.998], [0.375, 0.373, 0.498], [0.627, 0.125, 0.002], [0.875, 0.877, 0.502], [0.250, 0.750, 0.500], [0.500, 0.500, 0.000]]
}



{
  "formula": "HfCr2InIr",
  "functional": "PBE",
  "state": "optimized geometry",
  "formation_enthalpy_0k_ev_per_atom": 1.58,
  "cell": [[4.559, 0.000, 0.000], [0.000, 4.559, 0.000], [0.000, 0.000, 4.874]],
  "species": ["Hf", "Cr", "Cr", "In", "Ir"],
  "frac_coords": [[0.000, 0.000, 0.000], [0.000, 0.500, 0.000], [0.500, 0.000, 0.000], [0.500, 0.500, 0.500], [0.000, 0.000, 0.500]]
}



{
  "formula": "HfCrInN2",
  "functional": "PBE",
  "state": "optimized geometry",
  "cell": [[4.164, 0.000, 0.000], [0.000, 4.164, 0.000], [0.000, 0.000, 4.979]],
  "species": ["Hf", "Cr", "In", "N", "N"],
  "frac_coords": [[0.000, 0.000, 0.000], [0.500, 0.500, 0.000], [0.500, 0.500, 0.500], [0.000, 0.500, 0.500], [0.500, 0.000, 0.500]]
}



{
  "formula": "HfCrInRh",
  "functional": "PBE",
  "state": "optimized geometry",
  "formation_enthalpy_0k_ev_per_atom": -0.29,
  "cell": [[0.000, 3.270, 3.270], [3.270, 0.000, 3.270], [3.270, 3.270, 0.000]],
  "species": ["Hf", "Cr", "In", "Rh"],
  "frac_coords": [[0.000, 0.000, 0.000], [0.250, 0.250, 0.250], [0.500, 0.500, 0.500], [0.750, 0.750, 0.750]]
}



{
  "formula": "HfCrInRu",
  "functional": "PBE",
  "state": "optimized geometry",
  "formation_enthalpy_0k_ev_per_atom": -0.21,
  "cell": [[0.000, 3.244, 3.244], [3.244, 0.000, 3.244], [3.244, 3.244, 0.000]],
  "species": ["Hf", "Cr", "In", "Ru"],
  "frac_coords": [[0.000, 0.000, 0.000], [0.250, 0.250, 0.250], [0.500, 0.500, 0.500], [0.750, 0.750, 0.750]]
}



{
  "formula": "HfCr2InSe6",
  "functional": "PBE",
  "state": "optimized geometry",
  "cell": [[3.334, 1.925, 6.008], [-3.334, 1.925, 6.008], [0.000, -3.849, 6.008]],
  "species": ["Hf", "Cr", "Cr", "In", "Se", "Se", "Se", "Se", "Se", "Se"],
  "frac_coords": [[0.000, 0.000, 0.000], [0.191, 0.191, 0.191], [0.686, 0.686, 0.686], [0.490, 0.490, 0.490], [0.062, 0.812, 0.421], [0.292, 0.585, 0.920], [0.421, 0.062, 0.812], [0.585, 0.920, 0.292], [0.812, 0.421, 0.062], [0.920, 0.292, 0.585]]
}



{
  "formula": "Hf2CrInW",
  "functional": "PBE",
  "state": "optimized geometry",
  "formation_enthalpy_0k_ev_per_atom": 0.71,
  "cell": [[4.892, 0.000, 0.000], [0.000, 4.892, 0.000], [0.000, 0.000, 4.430]],
  "species": ["Hf", "Hf", "Cr", "In", "W"],
  "frac_coords": [[0.000, 0.500, 0.000], [0.500, 0.000, 0.000], [0.000, 0.000, 0.000], [0.500, 0.500, 0.500], [0.000, 0.000, 0.500]]
}



{
  "formula": "Hf4Cr2Ir",
  "functional": "PBE",
  "state": "optimized geometry",
  "formation_enthalpy_0k_ev_per_atom": 0.68,
  "cell": [[-2.483, 2.483, 6.609], [2.483, -2.483, 6.609], [2.483, 2.483, -6.609]],
  "species": ["Hf", "Hf", "Hf", "Hf", "Cr", "Cr", "Ir"],
  "frac_coords": [[0.000, 0.500, 0.500], [0.197, 0.197, 0.000], [0.500, 0.000, 0.500], [0.803, 0.803, 0.000], [0.392, 0.392, 0.000], [0.608, 0.608, 0.000], [0.000, 0.000, 0.000]]
}



{
  "formula": "HfCrIr",
  "functional": "PBE",
  "state": "optimized geometry",
  "formation_enthalpy_0k_ev_per_atom": 0.39,
  "cell": [[5.732, 0.000, 0.000], [0.000, 5.732, 0.000], [0.000, 0.000, 8.077]],
  "species": ["Hf", "Hf", "Hf", "Hf", "Cr", "Cr", "Cr", "Cr", "Ir", "Ir", "Ir", "Ir"],
  "frac_coords": [[0.203, 0.203, 0.000], [0.297, 0.703, 0.250], [0.703, 0.297, 0.750], [0.797, 0.797, 0.500], [0.181, 0.181, 0.500], [0.319, 0.681, 0.750], [0.681, 0.319, 0.250], [0.819, 0.819, 0.000], [0.019, 0.981, 0.750], [0.481, 0.481, 0.500], [0.519, 0.519, 0.000], [0.981, 0.019, 0.250]]
}



{
  "formula": "Hf3CrIr",
  "functional": "PBE",
  "state": "optimized geometry",
  "formation_enthalpy_0k_ev_per_atom": 0.51,
  "cell": [[5.013, 0.000, 0.000], [0.000, 5.013, 0.000], [0.000, 0.000, 5.013]],
  "species": ["Hf", "Hf", "Hf", "Cr", "Ir"],
  "frac_coords": [[0.000, 0.000, 0.500], [0.000, 0.500, 0.000], [0.500, 0.000, 0.000], [0.500, 0.500, 0.500], [0.000, 0.000, 0.000]]
}



{
  "formula": "HfCrIr3",
  "functional": "PBE",
  "state": "optimized geometry",
  "formation_enthalpy_0k_ev_per_atom": 0.65,
  "cell": [[4.485, 0.000, 0.000], [0.000, 4.485, 0.000], [0.000, 0.000, 4.485]],
  "species": ["Hf", "Cr", "Ir", "Ir", "Ir"],
  "frac_coords": [[0.000, 0.000, 0.000], [0.500, 0.500, 0.500], [0.000, 0.500, 0.500], [0.500, 0.000, 0.500], [0.500, 0.500, 0.000]]
}



{
  "formula": "HfCr2Ir2",
  "functional": "PBE",
  "state": "optimized geometry",
  "formation_enthalpy_0k_ev_per_atom": -0.17,
  "cell": [[7.369, 0.000, 0.000], [0.000, 7.369, 0.000], [0.000, 0.000, 2.748]],
  "species": ["Hf", "Hf", "Cr", "Cr", "Cr", "Cr", "Ir", "Ir", "Ir", "Ir"],
  "frac_coords": [[0.000, 0.000, 0.000], [0.500, 0.500, 0.000], [0.168, 0.332, 0.500], [0.332, 0.832, 0.500], [0.668, 0.168, 0.500], [0.832, 0.668, 0.500], [0.130, 0.630, 0.000], [0.370, 0.130, 0.000], [0.630, 0.870, 0.000], [0.870, 0.370, 0.000]]
}



{
  "formula": "HfCrIr3",
  "functional": "PBE",
  "state": "optimized geometry",
  "formation_enthalpy_0k_ev_per_atom": 1.90,
  "cell": [[4.772, 0.000, 0.000], [0.000, 4.772, 0.000], [0.000, 0.000, 4.772]],
  "species": ["Hf", "Cr", "Ir", "Ir", "Ir"],
  "frac_coords": [[0.000, 0.000, 0.000], [0.500, 0.500, 0.500], [0.000, 0.000, 0.500], [0.000, 0.500, 0.000], [0.500, 0.000, 0.000]]
}



{
  "formula": "HfCr2Ir2",
  "functional": "PBE",
  "state": "optimized geometry",
  "formation_enthalpy_0k_ev_per_atom": -0.23,
  "cell": [[7.350, 0.000, 0.000], [0.000, 7.350, 0.000], [0.000, 0.000, 2.740]],
  "species": ["Hf", "Hf", "Cr", "Cr", "Cr", "Cr", "Ir", "Ir", "Ir", "Ir"],
  "frac_coords": [[0.000, 0.000, 0.000], [0.500, 0.500, 0.000], [0.113, 0.387, 0.000], [0.387, 0.887, 0.000], [0.613, 0.113, 0.000], [0.887, 0.613, 0.000], [0.177, 0.677, 0.500], [0.323, 0.177, 0.500], [0.677, 0.823, 0.500], [0.823, 0.323, 0.500]]
}



{
  "formula": "K2HfCrIr",
  "functional": "PBE",
  "state": "optimized geometry",
  "formation_enthalpy_0k_ev_per_atom": 1.63,
  "cell": [[6.143, 0.000, 0.000], [0.000, 6.143, 0.000], [0.000, 0.000, 4.588]],
  "species": ["K", "K", "Hf", "Cr", "Ir"],
  "frac_coords": [[0.000, 0.500, 0.000], [0.500, 0.000, 0.000], [0.000, 0.000, 0.500], [0.500, 0.500, 0.500], [0.500, 0.500, 0.000]]
}



{
  "formula": "HfMgCrIr",
  "functional": "PBE",
  "state": "optimized geometry",
  "formation_enthalpy_0k_ev_per_atom": -0.35,
  "cell": [[0.000, 3.214, 3.214], [3.214, 0.000, 3.214], [3.214, 3.214, 0.000]],
  "species": ["Hf", "Mg", "Cr", "Ir"],
  "frac_coords": [[0.000, 0.000, 0.000], [0.500, 0.500, 0.500], [0.750, 0.750, 0.750], [0.250, 0.250, 0.250]]
}



{
  "formula": "HfMnCrIr",
  "functional": "PBE",
  "state": "optimized geometry",
  "formation_enthalpy_0k_ev_per_atom": -0.31,
  "cell": [[0.000, 3.138, 3.138], [3.138, 0.000, 3.138], [3.138, 3.138, 0.000]],
  "species": ["Hf", "Mn", "Cr", "Ir"],
  "frac_coords": [[0.000, 0.000, 0.000], [0.500, 0.500, 0.500], [0.250, 0.250, 0.250], [0.750, 0.750, 0.750]]
}



{
  "formula": "HfNb2CrIr",
  "functional": "PBE",
  "state": "optimized geometry",
  "formation_enthalpy_0k_ev_per_atom": 1.98,
  "cell": [[4.878, 0.000, 0.000], [0.000, 4.878, 0.000], [0.000, 0.000, 4.682]],
  "species": ["Hf", "Nb", "Nb", "Cr", "Ir"],
  "frac_coords": [[0.000, 0.000, 0.000], [0.000, 0.500, 0.000], [0.500, 0.000, 0.000], [0.500, 0.500, 0.500], [0.000, 0.000, 0.500]]
}



no.,final energy (eV per atom),DOS(E_F) (states/eV per atom),size of the total moment (μB/atom)
1,-4.59,0.904,1.092
2,-4.95,1.002,1.120
3,-7.42,1.395,0.609
4,-4.77,0.925,0.479
5,-6.69,1.128,0.000
6,-8.31,0.724,0.000
7,-4.05,0.799,0.049
8,-8.14,0.798,0.000
9,-7.92,0.846,0.000
10,-6.98,2.079,0.000
11,-6.58,1.825,0.005
12,-5.99,0.760,0.875
13,-7.71,0.438,1.005
14,-8.11,0.076,0.753
15,-5.95,0.438,0.688
16,-8.33,0.871,0.000
17,-9.03,1.140,0.847
18,-9.09,1.182,1.091
19,-9.16,1.314,0.750
20,-8.58,1.018,0.000
21,-9.56,1.104,0.000
22,-7.33,1.718,0.011
23,-9.62,1.562,0.000
24,-4.50,1.419,0.435
25,-7.85,0.155,0.768
26,-9.71,0.186,0.473
27,-7.74,2.295,0.000